The following is a DFT calculation (PBE-GGA) of a relaxed Li2TbHfN2O2 crystal.

a = 4.576 Å, b = 4.576 Å, c = 4.304 Å
α = 90.00°, β = 90.00°, γ = 90.00°
Fractional positions:
Li1 0.000 0.500 0.001
Li2 0.500 0.000 0.999
Tb1 0.000 0.000 0.500
Hf1 0.500 0.500 0.500
N1 0.000 0.500 0.501
N2 0.500 0.000 0.499
O1 0.000 0.000 0.000
O2 0.500 0.500 0.000

Values from the calculation:
- spin magnetization (μB/atom) = 0.087
- E (eV/atom) = -7.383



The following is a DFT calculation (PBE-GGA) of a relaxed Li2HfZrN2O2 crystal.

a = 4.445 Å, b = 4.445 Å, c = 4.216 Å
α = 90.00°, β = 90.00°, γ = 90.00°
Fractional positions:
Li1 0.000 0.500 0.002
Li2 0.500 0.000 0.998
Hf1 0.500 0.500 0.500
Zr1 0.000 0.000 0.500
N1 0.000 0.500 0.501
N2 0.500 0.000 0.499
O1 0.000 0.000 0.000
O2 0.500 0.500 0.000

Values from the calculation:
- spin magnetization (μB/atom) = 0.000
- E (eV/atom) = -8.201



The following is a DFT calculation (PBE-GGA) of a relaxed NaLiHf crystal.

a = 6.966 Å, b = 6.966 Å, c = 6.966 Å
α = 90.00°, β = 90.00°, γ = 90.00°
Fractional positions:
Na1 0.000 0.000 0.000
Na2 0.000 0.500 0.500
Na3 0.500 0.000 0.500
Na4 0.500 0.500 0.000
Li1 0.000 0.000 0.500
Li2 0.000 0.500 0.000
Li3 0.500 0.000 0.000
Li4 0.500 0.500 0.500
Hf1 0.250 0.250 0.750
Hf2 0.250 0.750 0.250
Hf3 0.750 0.250 0.250
Hf4 0.750 0.750 0.750

Values from the calculation:
- spin magnetization (μB/atom) = 0.522
- E (eV/atom) = -2.881



The following is a DFT calculation (PBE-GGA) of a relaxed NaLiHfSe3 crystal.

a = 7.726 Å, b = 3.887 Å, c = 9.634 Å
α = 90.00°, β = 106.46°, γ = 90.00°
Fractional positions:
Na1 0.234 0.250 0.190
Na2 0.766 0.750 0.810
Li1 0.423 0.250 0.907
Li2 0.577 0.750 0.093
Hf1 0.185 0.750 0.662
Hf2 0.815 0.250 0.338
Se1 0.073 0.750 0.364
Se2 0.241 0.750 0.945
Se3 0.415 0.250 0.650
Se4 0.585 0.750 0.350
Se5 0.759 0.250 0.055
Se6 0.927 0.250 0.636

Values from the calculation:
- spin magnetization (μB/atom) = 0.001
- relative energy among the computed polymorphs (eV per atom) = 0.005
- E (eV/atom) = -5.213



The following is a DFT calculation (PBE-GGA) of a relaxed NaLiHfSe3 crystal.

a = 13.565 Å, b = 3.895 Å, c = 10.585 Å
α = 90.00°, β = 90.00°, γ = 90.00°
Fractional positions:
Na1 0.231 0.250 0.007
Na2 0.269 0.750 0.507
Na3 0.731 0.250 0.493
Na4 0.769 0.750 0.993
Li1 0.014 0.750 0.089
Li2 0.486 0.250 0.589
Li3 0.514 0.750 0.411
Li4 0.986 0.250 0.911
Hf1 0.011 0.250 0.331
Hf2 0.489 0.750 0.831
Hf3 0.511 0.250 0.169
Hf4 0.989 0.750 0.669
Se1 0.096 0.750 0.873
Se2 0.105 0.250 0.564
Se3 0.135 0.750 0.262
Se4 0.365 0.250 0.762
Se5 0.395 0.750 0.064
Se6 0.404 0.250 0.373
Se7 0.596 0.750 0.627
Se8 0.605 0.250 0.936
Se9 0.635 0.750 0.238
Se10 0.865 0.250 0.738
Se11 0.895 0.750 0.436
Se12 0.904 0.250 0.127

Values from the calculation:
- spin magnetization (μB/atom) = 0.001
- relative energy among the computed polymorphs (eV per atom) = 0.000
- E (eV/atom) = -5.217



The following is a DFT calculation (PBE-GGA) of a relaxed LiHf2Nb crystal.

a = 6.711 Å, b = 6.711 Å, c = 6.711 Å
α = 90.00°, β = 90.00°, γ = 90.00°
Fractional positions:
Li1 0.000 0.000 0.000
Li2 0.000 0.500 0.500
Li3 0.500 0.000 0.500
Li4 0.500 0.500 0.000
Hf1 0.000 0.000 0.500
Hf2 0.000 0.500 0.000
Hf3 0.250 0.250 0.750
Hf4 0.250 0.750 0.250
Hf5 0.500 0.000 0.000
Hf6 0.500 0.500 0.500
Hf7 0.750 0.250 0.250
Hf8 0.750 0.750 0.750
Nb1 0.250 0.250 0.250
Nb2 0.250 0.750 0.750
Nb3 0.750 0.250 0.750
Nb4 0.750 0.750 0.250

Values from the calculation:
- spin magnetization (μB/atom) = 0.004
- E (eV/atom) = -7.610



The following is a DFT calculation (PBE-GGA) of a relaxed LiHfNb crystal.

a = 6.442 Å, b = 6.442 Å, c = 6.442 Å
α = 90.00°, β = 90.00°, γ = 90.00°
Fractional positions:
Li1 0.000 0.000 0.000
Li2 0.000 0.500 0.500
Li3 0.500 0.000 0.500
Li4 0.500 0.500 0.000
Hf1 0.000 0.000 0.500
Hf2 0.000 0.500 0.000
Hf3 0.500 0.000 0.000
Hf4 0.500 0.500 0.500
Nb1 0.250 0.250 0.750
Nb2 0.250 0.750 0.250
Nb3 0.750 0.250 0.250
Nb4 0.750 0.750 0.750

Values from the calculation:
- spin magnetization (μB/atom) = 0.641
- relative energy among the computed polymorphs (eV per atom) = 0.000
- E (eV/atom) = -6.018



The following is a DFT calculation (PBE-GGA) of a relaxed Li2HfNb crystal.

a = 6.656 Å, b = 6.656 Å, c = 6.656 Å
α = 90.00°, β = 90.00°, γ = 90.00°
Fractional positions:
Li1 0.000 0.000 0.000
Li2 0.000 0.500 0.500
Li3 0.250 0.250 0.250
Li4 0.250 0.750 0.750
Li5 0.500 0.000 0.500
Li6 0.500 0.500 0.000
Li7 0.750 0.250 0.750
Li8 0.750 0.750 0.250
Hf1 0.250 0.250 0.750
Hf2 0.250 0.750 0.250
Hf3 0.750 0.250 0.250
Hf4 0.750 0.750 0.750
Nb1 0.000 0.000 0.500
Nb2 0.000 0.500 0.000
Nb3 0.500 0.000 0.000
Nb4 0.500 0.500 0.500

Values from the calculation:
- spin magnetization (μB/atom) = 0.652
- E (eV/atom) = -5.347



The following is a DFT calculation (PBE-GGA) of a relaxed Li3Hf2Nb3O12 crystal.

a = 10.225 Å, b = 10.225 Å, c = 10.225 Å
α = 109.47°, β = 109.47°, γ = 109.47°
Fractional positions:
Li1 0.125 0.750 0.875
Li2 0.125 0.875 0.250
Li3 0.250 0.125 0.875
Li4 0.250 0.625 0.375
Li5 0.375 0.250 0.625
Li6 0.375 0.625 0.750
Li7 0.625 0.375 0.250
Li8 0.625 0.750 0.375
Li9 0.750 0.375 0.625
Li10 0.750 0.875 0.125
Li11 0.875 0.125 0.750
Li12 0.875 0.250 0.125
Hf1 0.000 0.000 0.000
Hf2 0.000 0.000 0.500
Hf3 0.000 0.500 0.000
Hf4 0.000 0.500 0.500
Hf5 0.500 0.000 0.000
Hf6 0.500 0.000 0.500
Hf7 0.500 0.500 0.000
Hf8 0.500 0.500 0.500
Nb1 0.125 0.250 0.375
Nb2 0.125 0.375 0.750
Nb3 0.250 0.375 0.125
Nb4 0.250 0.875 0.625
Nb5 0.375 0.125 0.250
Nb6 0.375 0.750 0.125
Nb7 0.625 0.250 0.875
Nb8 0.625 0.875 0.750
Nb9 0.750 0.125 0.375
Nb10 0.750 0.625 0.875
Nb11 0.875 0.625 0.250
Nb12 0.875 0.750 0.625
O1 0.045 0.227 0.133
O2 0.045 0.318 0.913
O3 0.087 0.633 0.405
O4 0.087 0.955 0.682
O5 0.095 0.727 0.682
O6 0.095 0.867 0.413
O7 0.133 0.045 0.227
O8 0.133 0.587 0.905
O9 0.182 0.227 0.595
O10 0.182 0.455 0.587
O11 0.227 0.133 0.045
O12 0.227 0.595 0.182
O13 0.273 0.318 0.905
O14 0.273 0.455 0.367
O15 0.318 0.905 0.273
O16 0.318 0.913 0.045
O17 0.367 0.273 0.455
O18 0.367 0.595 0.913
O19 0.405 0.087 0.633
O20 0.405 0.818 0.773
O21 0.413 0.095 0.867
O22 0.413 0.818 0.545
O23 0.455 0.367 0.273
O24 0.455 0.587 0.182
O25 0.545 0.413 0.818
O26 0.545 0.633 0.727
O27 0.587 0.182 0.455
O28 0.587 0.905 0.133
O29 0.595 0.182 0.227
O30 0.595 0.913 0.367
O31 0.633 0.405 0.087
O32 0.633 0.727 0.545
O33 0.682 0.087 0.955
O34 0.682 0.095 0.727
O35 0.727 0.545 0.633
O36 0.727 0.682 0.095
O37 0.773 0.405 0.818
O38 0.773 0.867 0.955
O39 0.818 0.545 0.413
O40 0.818 0.773 0.405
O41 0.867 0.413 0.095
O42 0.867 0.955 0.773
O43 0.905 0.133 0.587
O44 0.905 0.273 0.318
O45 0.913 0.045 0.318
O46 0.913 0.367 0.595
O47 0.955 0.682 0.087
O48 0.955 0.773 0.867

Values from the calculation:
- spin magnetization (μB/atom) = 0.100
- E (eV/atom) = -8.261



The following is a DFT calculation (PBE-GGA) of a relaxed Li3Hf3Nb2O12 crystal.

a = 10.270 Å, b = 10.270 Å, c = 10.270 Å
α = 109.47°, β = 109.47°, γ = 109.47°
Fractional positions:
Li1 0.125 0.750 0.875
Li2 0.125 0.875 0.250
Li3 0.250 0.125 0.875
Li4 0.250 0.625 0.375
Li5 0.375 0.250 0.625
Li6 0.375 0.625 0.750
Li7 0.625 0.375 0.250
Li8 0.625 0.750 0.375
Li9 0.750 0.375 0.625
Li10 0.750 0.875 0.125
Li11 0.875 0.125 0.750
Li12 0.875 0.250 0.125
Hf1 0.125 0.250 0.375
Hf2 0.125 0.375 0.750
Hf3 0.250 0.375 0.125
Hf4 0.250 0.875 0.625
Hf5 0.375 0.125 0.250
Hf6 0.375 0.750 0.125
Hf7 0.625 0.250 0.875
Hf8 0.625 0.875 0.750
Hf9 0.750 0.125 0.375
Hf10 0.750 0.625 0.875
Hf11 0.875 0.625 0.250
Hf12 0.875 0.750 0.625
Nb1 0.000 0.000 0.000
Nb2 0.000 0.000 0.500
Nb3 0.000 0.500 0.000
Nb4 0.000 0.500 0.500
Nb5 0.500 0.000 0.000
Nb6 0.500 0.000 0.500
Nb7 0.500 0.500 0.000
Nb8 0.500 0.500 0.500
O1 0.042 0.222 0.131
O2 0.042 0.320 0.912
O3 0.088 0.631 0.409
O4 0.088 0.958 0.680
O5 0.091 0.722 0.680
O6 0.091 0.869 0.412
O7 0.131 0.042 0.222
O8 0.131 0.588 0.909
O9 0.180 0.222 0.591
O10 0.180 0.458 0.588
O11 0.222 0.131 0.042
O12 0.222 0.591 0.180
O13 0.278 0.320 0.909
O14 0.278 0.458 0.369
O15 0.320 0.909 0.278
O16 0.320 0.912 0.042
O17 0.369 0.278 0.458
O18 0.369 0.591 0.912
O19 0.409 0.088 0.631
O20 0.409 0.820 0.778
O21 0.412 0.091 0.869
O22 0.412 0.820 0.542
O23 0.458 0.369 0.278
O24 0.458 0.588 0.180
O25 0.542 0.412 0.820
O26 0.542 0.631 0.722
O27 0.588 0.180 0.458
O28 0.588 0.909 0.131
O29 0.591 0.180 0.222
O30 0.591 0.912 0.369
O31 0.631 0.409 0.088
O32 0.631 0.722 0.542
O33 0.680 0.088 0.958
O34 0.680 0.091 0.722
O35 0.722 0.542 0.631
O36 0.722 0.680 0.091
O37 0.778 0.409 0.820
O38 0.778 0.869 0.958
O39 0.820 0.542 0.412
O40 0.820 0.778 0.409
O41 0.869 0.412 0.091
O42 0.869 0.958 0.778
O43 0.909 0.131 0.588
O44 0.909 0.278 0.320
O45 0.912 0.042 0.320
O46 0.912 0.369 0.591
O47 0.958 0.680 0.088
O48 0.958 0.778 0.869

Values from the calculation:
- spin magnetization (μB/atom) = 0.050
- E (eV/atom) = -8.489



The following is a DFT calculation (PBE-GGA) of a relaxed LiHfNi2 crystal.

a = 5.964 Å, b = 5.964 Å, c = 5.964 Å
α = 90.00°, β = 90.00°, γ = 90.00°
Fractional positions:
Li1 0.000 0.000 0.000
Li2 0.000 0.500 0.500
Li3 0.500 0.000 0.500
Li4 0.500 0.500 0.000
Hf1 0.250 0.250 0.250
Hf2 0.250 0.750 0.750
Hf3 0.750 0.250 0.750
Hf4 0.750 0.750 0.250
Ni1 0.000 0.000 0.500
Ni2 0.000 0.500 0.000
Ni3 0.250 0.250 0.750
Ni4 0.250 0.750 0.250
Ni5 0.500 0.000 0.000
Ni6 0.500 0.500 0.500
Ni7 0.750 0.250 0.250
Ni8 0.750 0.750 0.750

Values from the calculation:
- spin magnetization (μB/atom) = 0.001
- E (eV/atom) = -5.847



The following is a DFT calculation (PBE-GGA) of a relaxed LiHf2Ni crystal.

a = 6.459 Å, b = 6.459 Å, c = 6.459 Å
α = 90.00°, β = 90.00°, γ = 90.00°
Fractional positions:
Li1 0.000 0.000 0.000
Li2 0.000 0.500 0.500
Li3 0.500 0.000 0.500
Li4 0.500 0.500 0.000
Hf1 0.000 0.000 0.500
Hf2 0.000 0.500 0.000
Hf3 0.250 0.250 0.750
Hf4 0.250 0.750 0.250
Hf5 0.500 0.000 0.000
Hf6 0.500 0.500 0.500
Hf7 0.750 0.250 0.250
Hf8 0.750 0.750 0.750
Ni1 0.250 0.250 0.250
Ni2 0.250 0.750 0.750
Ni3 0.750 0.250 0.750
Ni4 0.750 0.750 0.250

Values from the calculation:
- spin magnetization (μB/atom) = 0.269
- E (eV/atom) = -6.529